Entry 1:
A plane-wave DFT calculation with GGA-PBE was carried out for an optimized crystal structure of LiP3. Values from VASP.

## Properties
Crystal system: orthorhombic
Energy (eV/atom): -4.449
Symmetry: Immm (71)

Structure (Quantum ESPRESSO input):
```
&SYSTEM
  ibrav = 0, nat = 4, ntyp = 2
/
ATOMIC_SPECIES
P 30.97 P.upf
Li 6.94 Li.upf
CELL_PARAMETERS angstrom
-5.018 1.452 -0.084
-3.711 -3.674 -0.154
4.127 1.771 2.669
ATOMIC_POSITIONS crystal
P 0.192 0.192 0.000
Li 0.500 0.000 0.500
P 0.000 0.500 0.500
P 0.808 0.808 0.000
```

***

Entry 2:
A plane-wave DFT calculation with GGA-PBE was carried out for an optimized crystal structure of ErLuH. Values from VASP.

## Properties
Crystal system: trigonal
Energy (eV/atom): -4.393
Symmetry: P3m1 (156)

Structure (Quantum ESPRESSO input):
```
&SYSTEM
  ibrav = 0, nat = 3, ntyp = 3
/
ATOMIC_SPECIES
Er 167.26 Er.upf
Lu 174.97 Lu.upf
H 1.01 H.upf
CELL_PARAMETERS angstrom
-3.431 0.712 0.581
1.394 -3.067 1.128
1.288 2.332 4.747
ATOMIC_POSITIONS crystal
Er 0.333 0.667 0.581
Lu 0.000 0.000 0.087
H 0.667 0.333 0.332
```

***

Entry 3:
A plane-wave DFT calculation with GGA-PBE was carried out for an optimized crystal structure of Th4AgSn. Values from VASP.

## Properties
Crystal system: tetragonal
Energy (eV/atom): -6.185
Symmetry: I4/mcm (140)

Structure (Quantum ESPRESSO input):
```
&SYSTEM
  ibrav = 0, nat = 12, ntyp = 3
/
ATOMIC_SPECIES
Th 232.04 Th.upf
Ag 107.87 Ag.upf
Sn 118.71 Sn.upf
CELL_PARAMETERS angstrom
-0.129 -5.745 -5.017
2.115 -4.848 5.497
-6.946 4.242 1.121
ATOMIC_POSITIONS crystal
Th 0.289 0.482 0.271
Th 0.018 0.211 0.729
Th 0.711 0.518 0.729
Th 0.789 0.289 0.271
Ag 0.750 0.750 0.500
Th 0.211 0.711 0.729
Sn 0.000 0.000 0.000
Ag 0.250 0.250 0.500
Th 0.982 0.789 0.271
Th 0.518 0.018 0.729
Th 0.482 0.982 0.271
Sn 0.500 0.500 0.000
```

***

Entry 4:
A plane-wave DFT calculation with GGA-PBE was carried out for an optimized crystal structure of Ag5Hg2Pd5. Values from VASP.

## Properties
Crystal system: triclinic
Energy (eV/atom): -3.468
Symmetry: P-1 (2)

Structure (Quantum ESPRESSO input):
```
&SYSTEM
  ibrav = 0, nat = 12, ntyp = 3
/
ATOMIC_SPECIES
Ag 107.87 Ag.upf
Hg 200.59 Hg.upf
Pd 106.42 Pd.upf
CELL_PARAMETERS angstrom
-2.718 -0.861 -4.124
-1.801 -4.603 -0.907
-7.689 0.713 5.795
ATOMIC_POSITIONS crystal
Ag 0.660 0.667 0.000
Hg 0.074 0.591 0.252
Pd 0.255 0.747 0.748
Pd 0.835 0.836 0.500
Pd 0.000 0.000 0.000
Pd 0.745 0.253 0.252
Ag 0.340 0.333 0.000
Ag 0.500 0.500 0.500
Pd 0.165 0.164 0.500
Ag 0.591 0.076 0.748
Ag 0.409 0.924 0.252
Hg 0.926 0.409 0.748
```

***

Entry 5:
A plane-wave DFT calculation with GGA-PBE was carried out for an optimized crystal structure of SrFeI2. Values from VASP.

## Properties
Raw formation energy (eV per atom): -0.237
Crystal system: cubic
Symmetry: Fm-3m (225)

Structure (Quantum ESPRESSO input):
```
&SYSTEM
  ibrav = 0, nat = 4, ntyp = 3
/
ATOMIC_SPECIES
I 126.90 I.upf
Fe 55.84 Fe.upf
Sr 87.62 Sr.upf
CELL_PARAMETERS angstrom
0.000 3.962 3.962
3.962 0.000 3.962
3.962 3.962 0.000
ATOMIC_POSITIONS crystal
I 0.250 0.250 0.250
Fe 0.000 0.000 0.000
Sr 0.500 0.500 0.500
I 0.750 0.750 0.750
```

***

Entry 6:
A plane-wave DFT calculation with GGA-PBE was carried out for an optimized crystal structure of MnAlOs. Values from VASP.

## Properties
Crystal system: tetragonal
Energy (eV/atom): -8.228
Symmetry: P4/nmm (129)

Structure (Quantum ESPRESSO input):
```
&SYSTEM
  ibrav = 0, nat = 6, ntyp = 3
/
ATOMIC_SPECIES
Os 190.23 Os.upf
Mn 54.94 Mn.upf
Al 26.98 Al.upf
CELL_PARAMETERS angstrom
2.739 0.863 -1.091
1.591 3.625 -1.790
-0.997 -4.377 11.338
ATOMIC_POSITIONS crystal
Os 0.856 0.406 0.965
Mn 0.856 0.246 0.135
Os 0.856 0.911 0.468
Al 0.856 0.725 0.625
Mn 0.856 0.071 0.298
Al 0.856 0.593 0.809
```

***

Entry 7:
A plane-wave DFT calculation with GGA-PBE was carried out for an optimized crystal structure of Sc2SbPt. Values from VASP.

## Properties
Raw formation energy (eV per atom): -1.027
Crystal system: orthorhombic
Symmetry: Amm2 (38)

Structure (Quantum ESPRESSO input):
```
&SYSTEM
  ibrav = 0, nat = 4, ntyp = 3
/
ATOMIC_SPECIES
Sc 44.96 Sc.upf
Sb 121.76 Sb.upf
Pt 195.08 Pt.upf
CELL_PARAMETERS angstrom
-4.082 -0.650 -0.238
0.578 -3.803 0.460
-0.112 -1.322 5.524
ATOMIC_POSITIONS crystal
Sc 0.000 0.971 0.932
Sb 0.500 0.542 0.791
Pt 0.000 0.723 0.430
Sc 0.500 0.264 0.347
```

***

Entry 8:
A plane-wave DFT calculation with GGA-PBE was carried out for an optimized crystal structure of CdNiC3. Values from VASP.

## Properties
Crystal system: cubic
Energy (eV/atom): -4.632
Symmetry: Pm-3m (221)

Structure (Quantum ESPRESSO input):
```
&SYSTEM
  ibrav = 0, nat = 5, ntyp = 3
/
ATOMIC_SPECIES
Ni 58.69 Ni.upf
C 12.01 C.upf
Cd 112.41 Cd.upf
CELL_PARAMETERS angstrom
-2.196 -1.702 -2.687
-2.226 -1.510 2.776
-2.272 3.125 -0.122
ATOMIC_POSITIONS crystal
Ni 0.000 0.000 0.000
C 0.000 0.000 0.500
C 0.000 0.500 0.000
C 0.500 0.000 0.000
Cd 0.500 0.500 0.500
```

***

Please write out number 7 again, unchanged.
A plane-wave DFT calculation with GGA-PBE was carried out for an optimized crystal structure of Sc2SbPt. Values from VASP.

## Properties
Raw formation energy (eV per atom): -1.027
Crystal system: orthorhombic
Symmetry: Amm2 (38)

Structure (Quantum ESPRESSO input):
```
&SYSTEM
  ibrav = 0, nat = 4, ntyp = 3
/
ATOMIC_SPECIES
Sc 44.96 Sc.upf
Sb 121.76 Sb.upf
Pt 195.08 Pt.upf
CELL_PARAMETERS angstrom
-4.082 -0.650 -0.238
0.578 -3.803 0.460
-0.112 -1.322 5.524
ATOMIC_POSITIONS crystal
Sc 0.000 0.971 0.932
Sb 0.500 0.542 0.791
Pt 0.000 0.723 0.430
Sc 0.500 0.264 0.347
```

***

> Which formula does entry 1 have?

LiP3